1.
A plane-wave DFT calculation with PBE was carried out for a relaxed PmEr2Lu crystal.

a = 3.526 Å, b = 3.526 Å, c = 10.022 Å
α = 90.00°, β = 90.00°, γ = 90.00°
Fractional positions:
1 Pm 0.000 0.000 0.000
2 Er 0.500 0.500 0.256
3 Er 0.500 0.500 0.744
4 Lu 0.000 0.000 0.500

The formation energy comes out at 0.029 eV/atom. For the total energy, the calculation gives -4.570 eV per atom.

=====

2.
A plane-wave DFT calculation with PBE was carried out for a relaxed Pm2ErLu crystal.

a = 11.707 Å, b = 11.707 Å, c = 11.707 Å
α = 17.55°, β = 17.55°, γ = 17.55°
Fractional positions:
1 Pm 0.250 0.250 0.250
2 Pm 0.750 0.750 0.750
3 Er 0.500 0.500 0.500
4 Lu 0.000 0.000 0.000

The formation energy comes out at 0.019 eV/atom. For the total energy, the calculation gives -4.627 eV per atom.

=====

3.
A plane-wave DFT calculation with PBE was carried out for a relaxed Pm2ErLu crystal.

a = 3.581 Å, b = 3.581 Å, c = 9.991 Å
α = 90.00°, β = 90.00°, γ = 90.00°
Fractional positions:
1 Pm 0.000 0.000 0.248
2 Pm 0.000 0.000 0.752
3 Er 0.500 0.500 0.500
4 Lu 0.500 0.500 0.000

The formation energy comes out at 0.024 eV/atom. For the total energy, the calculation gives -4.622 eV per atom.

=====

4.
A plane-wave DFT calculation with PBE was carried out for a relaxed PmErLu crystal.

a = 5.617 Å, b = 5.617 Å, c = 3.435 Å
α = 90.00°, β = 90.00°, γ = 120.00°
Fractional positions:
1 Pm 0.000 0.000 0.000
2 Er 0.667 0.333 0.500
3 Lu 0.333 0.667 0.500

The formation energy comes out at 0.081 eV/atom. For the total energy, the calculation gives -4.530 eV per atom.

=====

5.
A plane-wave DFT calculation with PBE was carried out for a relaxed PmEr2Lu crystal.

a = 4.983 Å, b = 4.983 Å, c = 5.008 Å
α = 90.00°, β = 90.00°, γ = 90.00°
Fractional positions:
1 Pm 0.000 0.000 0.000
2 Er 0.000 0.500 0.500
3 Er 0.500 0.000 0.500
4 Lu 0.500 0.500 0.000

The formation energy comes out at 0.027 eV/atom. For the total energy, the calculation gives -4.572 eV per atom.

=====

6.
A plane-wave DFT calculation with PBE was carried out for a relaxed Pm2ErLu crystal.

a = 5.073 Å, b = 5.073 Å, c = 4.973 Å
α = 90.00°, β = 90.00°, γ = 90.00°
Fractional positions:
1 Pm 0.000 0.500 0.000
2 Pm 0.500 0.000 0.000
3 Er 0.000 0.000 0.500
4 Lu 0.500 0.500 0.500

The formation energy comes out at 0.023 eV/atom. For the total energy, the calculation gives -4.623 eV per atom.

=====

7.
A plane-wave DFT calculation with PBE was carried out for a relaxed Pm2ErLu crystal.

a = 5.680 Å, b = 5.680 Å, c = 5.680 Å
α = 60.00°, β = 60.00°, γ = 60.00°
Fractional positions:
1 Pm 0.250 0.250 0.250
2 Pm 0.750 0.750 0.750
3 Er 0.000 0.000 0.000
4 Lu 0.500 0.500 0.500

The formation energy comes out at 0.099 eV/atom. For the total energy, the calculation gives -4.548 eV per atom.

=====

8.
A plane-wave DFT calculation with PBE was carried out for a relaxed PmErLu crystal.

a = 7.930 Å, b = 7.930 Å, c = 7.930 Å
α = 154.22°, β = 154.22°, γ = 36.78°
Fractional positions:
1 Pm 0.000 0.000 0.000
2 Er 0.670 0.670 0.000
3 Lu 0.332 0.332 0.000

The formation energy comes out at 0.028 eV/atom. For the total energy, the calculation gives -4.583 eV per atom.

=====

9.
A plane-wave DFT calculation with PBE was carried out for a relaxed PmErLu2 crystal.

a = 4.991 Å, b = 4.991 Å, c = 4.946 Å
α = 90.00°, β = 90.00°, γ = 90.00°
Fractional positions:
1 Pm 0.000 0.000 0.000
2 Er 0.500 0.500 0.000
3 Lu 0.000 0.500 0.500
4 Lu 0.500 0.000 0.500

The formation energy comes out at 0.031 eV/atom. For the total energy, the calculation gives -4.558 eV per atom.

=====

10.
A plane-wave DFT calculation with PBE was carried out for a relaxed PmErLu2 crystal.

a = 5.611 Å, b = 5.611 Å, c = 5.611 Å
α = 60.00°, β = 60.00°, γ = 60.00°
Fractional positions:
1 Pm 0.000 0.000 0.000
2 Er 0.500 0.500 0.500
3 Lu 0.250 0.250 0.250
4 Lu 0.750 0.750 0.750

The formation energy comes out at 0.103 eV/atom. For the total energy, the calculation gives -4.485 eV per atom.

=====

11.
A plane-wave DFT calculation with PBE was carried out for a relaxed PmEr2Lu crystal.

a = 5.629 Å, b = 5.629 Å, c = 5.629 Å
α = 60.00°, β = 60.00°, γ = 60.00°
Fractional positions:
1 Pm 0.000 0.000 0.000
2 Er 0.250 0.250 0.250
3 Er 0.750 0.750 0.750
4 Lu 0.500 0.500 0.500

The formation energy comes out at 0.140 eV/atom. For the total energy, the calculation gives -4.459 eV per atom.

=====

12.
A plane-wave DFT calculation with PBE was carried out for a relaxed PmErLu2 crystal.

a = 11.593 Å, b = 11.593 Å, c = 11.593 Å
α = 17.49°, β = 17.49°, γ = 17.49°
Fractional positions:
1 Pm 0.000 0.000 0.000
2 Er 0.500 0.500 0.500
3 Lu 0.249 0.249 0.249
4 Lu 0.751 0.751 0.751

The formation energy comes out at 0.031 eV/atom. For the total energy, the calculation gives -4.558 eV per atom.

=====

13.
A plane-wave DFT calculation with PBE was carried out for a relaxed PmErLu2 crystal.

a = 4.022 Å, b = 4.022 Å, c = 7.724 Å
α = 90.00°, β = 90.00°, γ = 90.00°
Fractional positions:
1 Pm 0.000 0.000 0.000
2 Er 0.000 0.000 0.500
3 Lu 0.500 0.500 0.259
4 Lu 0.500 0.500 0.741

The formation energy comes out at 0.101 eV/atom. For the total energy, the calculation gives -4.488 eV per atom.

=====

14.
A plane-wave DFT calculation with PBE was carried out for a relaxed PmEr2Lu crystal.

a = 12.450 Å, b = 12.450 Å, c = 12.450 Å
α = 15.89°, β = 15.89°, γ = 15.89°
Fractional positions:
1 Pm 0.000 0.000 0.000
2 Er 0.091 0.091 0.091
3 Er 0.909 0.909 0.909
4 Lu 0.500 0.500 0.500

The formation energy comes out at 0.170 eV/atom. For the total energy, the calculation gives -4.430 eV per atom.

=====

15.
A plane-wave DFT calculation with PBE was carried out for a relaxed PmErLuPu crystal.

a = 5.573 Å, b = 5.573 Å, c = 5.573 Å
α = 60.00°, β = 60.00°, γ = 60.00°
Fractional positions:
1 Pm 0.000 0.000 0.000
2 Er 0.500 0.500 0.500
3 Lu 0.750 0.750 0.750
4 Pu 0.250 0.250 0.250

The formation energy comes out at 0.195 eV/atom. For the total energy, the calculation gives -6.846 eV per atom.

=====

16.
A plane-wave DFT calculation with PBE was carried out for a relaxed PmSmErLu crystal.

a = 5.672 Å, b = 5.672 Å, c = 5.672 Å
α = 60.00°, β = 60.00°, γ = 60.00°
Fractional positions:
1 Pm 0.000 0.000 0.000
2 Sm 0.500 0.500 0.500
3 Er 0.750 0.750 0.750
4 Lu 0.250 0.250 0.250

The formation energy comes out at 0.102 eV/atom. For the total energy, the calculation gives -4.536 eV per atom.

=====

17.
A plane-wave DFT calculation with PBE was carried out for a relaxed PmErLuSn crystal.

a = 5.393 Å, b = 5.393 Å, c = 5.393 Å
α = 60.00°, β = 60.00°, γ = 60.00°
Fractional positions:
1 Pm 0.000 0.000 0.000
2 Er 0.250 0.250 0.250
3 Lu 0.750 0.750 0.750
4 Sn 0.500 0.500 0.500

The formation energy comes out at -0.177 eV/atom. For the total energy, the calculation gives -4.636 eV per atom.

=====

18.
A plane-wave DFT calculation with PBE was carried out for a relaxed PmErLuTh crystal.

a = 5.655 Å, b = 5.655 Å, c = 5.655 Å
α = 60.00°, β = 60.00°, γ = 60.00°
Fractional positions:
1 Pm 0.000 0.000 0.000
2 Er 0.500 0.500 0.500
3 Lu 0.750 0.750 0.750
4 Th 0.250 0.250 0.250

The formation energy comes out at 0.190 eV/atom. For the total energy, the calculation gives -5.124 eV per atom.

=====

19.
A plane-wave DFT calculation with PBE was carried out for a relaxed PmErLuTl crystal.

a = 5.468 Å, b = 5.468 Å, c = 5.468 Å
α = 60.00°, β = 60.00°, γ = 60.00°
Fractional positions:
1 Pm 0.000 0.000 0.000
2 Er 0.500 0.500 0.500
3 Lu 0.250 0.250 0.250
4 Tl 0.750 0.750 0.750

The formation energy comes out at -0.045 eV/atom. For the total energy, the calculation gives -4.095 eV per atom.

=====

20.
A plane-wave DFT calculation with PBE was carried out for a relaxed PmErTmLu crystal.

a = 5.620 Å, b = 5.620 Å, c = 5.620 Å
α = 60.00°, β = 60.00°, γ = 60.00°
Fractional positions:
1 Pm 0.000 0.000 0.000
2 Er 0.500 0.500 0.500
3 Tm 0.250 0.250 0.250
4 Lu 0.750 0.750 0.750

The formation energy comes out at 0.113 eV/atom. For the total energy, the calculation gives -4.463 eV per atom.

=====

21.
A plane-wave DFT calculation with PBE was carried out for a relaxed PmErLuZn crystal.

a = 5.325 Å, b = 5.325 Å, c = 5.325 Å
α = 60.00°, β = 60.00°, γ = 60.00°
Fractional positions:
1 Pm 0.000 0.000 0.000
2 Er 0.500 0.500 0.500
3 Lu 0.250 0.250 0.250
4 Zn 0.750 0.750 0.750

The formation energy comes out at 0.021 eV/atom. For the total energy, the calculation gives -3.756 eV per atom.

=====

22.
A plane-wave DFT calculation with PBE was carried out for a relaxed PrErLu crystal.

a = 5.652 Å, b = 5.652 Å, c = 3.467 Å
α = 90.00°, β = 90.00°, γ = 120.00°
Fractional positions:
1 Pr 0.000 0.000 0.000
2 Er 0.667 0.333 0.500
3 Lu 0.333 0.667 0.500

The formation energy comes out at 0.085 eV/atom. For the total energy, the calculation gives -4.536 eV per atom.

=====

23.
A plane-wave DFT calculation with PBE was carried out for a relaxed Pr2ErLu crystal.

a = 5.138 Å, b = 5.138 Å, c = 4.979 Å
α = 90.00°, β = 90.00°, γ = 90.00°
Fractional positions:
1 Pr 0.000 0.500 0.000
2 Pr 0.500 0.000 0.000
3 Er 0.000 0.000 0.500
4 Lu 0.500 0.500 0.500

The formation energy comes out at 0.023 eV/atom. For the total energy, the calculation gives -4.638 eV per atom.

=====

24.
A plane-wave DFT calculation with PBE was carried out for a relaxed Pr2ErLu crystal.

a = 5.731 Å, b = 5.731 Å, c = 5.731 Å
α = 60.00°, β = 60.00°, γ = 60.00°
Fractional positions:
1 Pr 0.250 0.250 0.250
2 Pr 0.750 0.750 0.750
3 Er 0.000 0.000 0.000
4 Lu 0.500 0.500 0.500

The formation energy comes out at 0.087 eV/atom. For the total energy, the calculation gives -4.574 eV per atom.

=====

25.
A plane-wave DFT calculation with PBE was carried out for a relaxed PrErLu2 crystal.

a = 4.033 Å, b = 4.033 Å, c = 7.799 Å
α = 90.00°, β = 90.00°, γ = 90.00°
Fractional positions:
1 Pr 0.000 0.000 0.000
2 Er 0.000 0.000 0.500
3 Lu 0.500 0.500 0.263
4 Lu 0.500 0.500 0.737

The formation energy comes out at 0.095 eV/atom. For the total energy, the calculation gives -4.501 eV per atom.

=====

26.
A plane-wave DFT calculation with PBE was carried out for a relaxed PrErLu crystal.

a = 7.971 Å, b = 7.971 Å, c = 7.971 Å
α = 154.17°, β = 154.17°, γ = 36.85°
Fractional positions:
1 Pr 0.000 0.000 0.000
2 Er 0.330 0.330 0.000
3 Lu 0.669 0.669 0.000

The formation energy comes out at 0.033 eV/atom. For the total energy, the calculation gives -4.588 eV per atom.

=====

27.
A plane-wave DFT calculation with PBE was carried out for a relaxed PrErLu2 crystal.

a = 5.632 Å, b = 5.632 Å, c = 5.632 Å
α = 60.00°, β = 60.00°, γ = 60.00°
Fractional positions:
1 Pr 0.000 0.000 0.000
2 Er 0.500 0.500 0.500
3 Lu 0.250 0.250 0.250
4 Lu 0.750 0.750 0.750

The formation energy comes out at 0.097 eV/atom. For the total energy, the calculation gives -4.499 eV per atom.

=====

28.
A plane-wave DFT calculation with PBE was carried out for a relaxed Pr2ErLu crystal.

a = 3.642 Å, b = 3.642 Å, c = 9.928 Å
α = 90.00°, β = 90.00°, γ = 90.00°
Fractional positions:
1 Pr 0.000 0.000 0.248
2 Pr 0.000 0.000 0.752
3 Er 0.500 0.500 0.500
4 Lu 0.500 0.500 0.000

The formation energy comes out at 0.025 eV/atom. For the total energy, the calculation gives -4.636 eV per atom.

=====

29.
A plane-wave DFT calculation with PBE was carried out for a relaxed PrErLu2 crystal.

a = 5.017 Å, b = 5.017 Å, c = 4.966 Å
α = 90.00°, β = 90.00°, γ = 90.00°
Fractional positions:
1 Pr 0.000 0.000 0.000
2 Er 0.500 0.500 0.000
3 Lu 0.000 0.500 0.500
4 Lu 0.500 0.000 0.500

The formation energy comes out at 0.034 eV/atom. For the total energy, the calculation gives -4.562 eV per atom.

=====

30.
A plane-wave DFT calculation with PBE was carried out for a relaxed PrErLuPu crystal.

a = 5.606 Å, b = 5.606 Å, c = 5.606 Å
α = 60.00°, β = 60.00°, γ = 60.00°
Fractional positions:
1 Pr 0.000 0.000 0.000
2 Er 0.750 0.750 0.750
3 Lu 0.250 0.250 0.250
4 Pu 0.500 0.500 0.500

The formation energy comes out at 0.196 eV/atom. For the total energy, the calculation gives -6.853 eV per atom.

=====

31.
A plane-wave DFT calculation with PBE was carried out for a relaxed PrErLuSc crystal.

a = 5.544 Å, b = 5.544 Å, c = 5.544 Å
α = 60.00°, β = 60.00°, γ = 60.00°
Fractional positions:
1 Pr 0.000 0.000 0.000
2 Er 0.500 0.500 0.500
3 Lu 0.750 0.750 0.750
4 Sc 0.250 0.250 0.250

The formation energy comes out at 0.095 eV/atom. For the total energy, the calculation gives -4.954 eV per atom.